Material: NaMnTeC2
Method: DFT, PBE-GGA
State: optimized geometry

Lattice parameters (Å, degrees): 3.8674 3.8674 6.1722 90.00 90.00 90.00
Last column: nearest neighbours and their distance in Å.
Positions (direct):
Na1 0.0000 0.0000 0.0000  4 Te 2.73
Mn1 0.0000 0.0000 0.5000  4 C 1.93
Te1 0.5000 0.5000 0.0000  4 Na 2.73
C1 0.0000 0.5000 0.5000  2 Mn 1.93
C2 0.5000 0.0000 0.5000  2 Mn 1.93

Output
SG: P4/mmm (123)
Formation energy from raw total energies (meV per atom): 1363.9